Entry from Alexandria: crystalline ThPtAu4 at its relaxed geometry (PBE).

As for the energy of formation: -0.428 eV/atom. The value obtained for the density of states at the Fermi level is 5.22 states/eV/f.u. As for the total DFT energy (no corrections): -0.357 Ry per atom.

Lattice parameters (Å, degrees): 5.5323 5.5323 5.5323 60.00 60.00 60.00
Sites, in units of the cell vectors:
Th 0.0000 0.0000 0.0000
Pt 0.7500 0.7500 0.7500
Au 0.3755 0.3755 0.3755
Au 0.3755 0.3755 0.8734
Au 0.3755 0.8734 0.3755
Au 0.8734 0.3755 0.3755

=====

Entry from Alexandria: crystalline PmH6Ru3 at its relaxed geometry (PBE).

The value obtained for the density of states at the Fermi level is 6.60 states/eV/f.u. As for the total DFT energy (no corrections): -0.397 Ry per atom.

Lattice parameters (Å, degrees): 4.6930 4.6935 5.6797 65.65 65.67 60.06
Sites, in units of the cell vectors:
Pm 0.0000 0.0000 0.0000
H 0.0472 0.5417 0.8540
H 0.2275 0.8318 0.3738
H 0.5408 0.5576 0.8535
H 0.5562 0.0484 0.8540
H 0.5666 0.2259 0.3745
H 0.8299 0.5673 0.3740
Ru 0.1847 0.1877 0.4402
Ru 0.4596 0.4611 0.6168
Ru 0.7915 0.7929 0.6237

=====

Entry from Alexandria: crystalline PmSmEr2Se4 at its relaxed geometry (PBE).

The value obtained for the density of states at the Fermi level is 3.94 states/eV/f.u. As for the total DFT energy (no corrections): -0.429 Ry per atom. For the raw formation energy, the calculation gives -1.7648 eV per atom.

Lattice parameters (Å, degrees): 7.0450 4.0428 7.2850 90.00 108.63 90.00
Sites, in units of the cell vectors:
Pm 0.0000 0.0000 0.0000
Sm 0.5000 0.5000 0.0000
Er 0.0000 0.5000 0.5000
Er 0.5000 0.0000 0.5000
Se 0.2460 0.0000 0.7359
Se 0.2560 0.5000 0.2648
Se 0.7440 0.5000 0.7352
Se 0.7540 0.0000 0.2641

=====

Entry from Alexandria: crystalline Ba2SrCd4 at its relaxed geometry (PBE).

As for the energy of formation: -0.143 eV/atom. The value obtained for the density of states at the Fermi level is 7.43 states/eV/f.u. As for the total DFT energy (no corrections): -0.107 Ry per atom.

Lattice parameters (Å, degrees): 10.2086 10.2086 10.2086 32.89 32.89 32.89
Sites, in units of the cell vectors:
Ba 0.2469 0.2469 0.2469
Ba 0.7531 0.7531 0.7531
Sr 0.0000 0.0000 0.0000
Cd 0.1249 0.1249 0.1249
Cd 0.3694 0.3694 0.3694
Cd 0.6306 0.6306 0.6306
Cd 0.8751 0.8751 0.8751

=====

Entry from Alexandria: crystalline Rb4Sm3PuS8 at its relaxed geometry (PBE).

The value obtained for the density of states at the Fermi level is 12.09 states/eV/f.u. As for the total DFT energy (no corrections): -0.429 Ry per atom. For the raw formation energy, the calculation gives -1.7561 eV per atom.

Lattice parameters (Å, degrees): 9.0723 9.0723 9.0723 54.77 54.77 54.77
Sites, in units of the cell vectors:
Rb 0.0000 0.0000 0.0000
Rb 0.0000 0.5000 0.5000
Rb 0.5000 0.0000 0.5000
Rb 0.5000 0.5000 0.0000
Sm 0.0000 0.0000 0.5000
Sm 0.0000 0.5000 0.0000
Sm 0.5000 0.0000 0.0000
Pu 0.5000 0.5000 0.5000
S 0.2320 0.2320 0.2320
S 0.2327 0.7305 0.7305
S 0.2695 0.2695 0.7673
S 0.2695 0.7673 0.2695
S 0.7305 0.2327 0.7305
S 0.7305 0.7305 0.2327
S 0.7673 0.2695 0.2695
S 0.7680 0.7680 0.7680